1) This record from the Alexandria database describes an optimized crystal structure of HgIrCl. The functional is GGA-PBEsol.

Summary:
- Space-group type: F-43m

a b c (Å): 4.521 4.521 4.521
angles (deg): 60.00 60.00 60.00
Site moments in Bohr magnetons follow the coordinates.
Sites, in units of the cell vectors:
Ir: 0.000 0.000 0.000  0.78
Hg: 0.250 0.250 0.250  -0.01
Cl: 0.500 0.500 0.500  0.07



2) This record from the Alexandria database describes an optimized crystal structure of HgIrCl. The functional is GGA-PBEsol.

Summary:
- Space-group type: P3m1

a b c (Å): 3.127 3.127 6.287
angles (deg): 90.00 90.00 120.00
Site moments in Bohr magnetons follow the coordinates.
Sites, in units of the cell vectors:
Ir: 0.333 0.667 0.316  0.49
Hg: 0.667 0.333 0.651  0.00
Cl: 0.000 0.000 0.033  0.07



Need the numbers? Relative energies in kJ/mol of atoms: 1) 76.6; 2) 0.0.



1) This record from the Alexandria database describes an optimized crystal structure of K2HgCl. The functional is GGA-PBEsol.

Summary:
- Space-group type: F-43m

a b c (Å): 5.698 5.698 5.698
angles (deg): 60.00 60.00 60.00
Sites, in units of the cell vectors:
K: 0.000 0.000 0.000
K: 0.750 0.750 0.750
Hg: 0.250 0.250 0.250
Cl: 0.500 0.500 0.500



2) This record from the Alexandria database describes an optimized crystal structure of K2HgCl. The functional is GGA-PBEsol.

Summary:
- Space-group type: Cm

a b c (Å): 3.788 4.045 9.363
angles (deg): 102.36 101.67 90.00
Sites, in units of the cell vectors:
K: 0.031 0.032 0.063
K: 0.818 0.316 0.636
Hg: 0.197 0.697 0.393
Cl: 0.454 0.455 0.908



Need the numbers? Relative energies in kJ/mol of atoms: 1) 34.3; 2) 0.0.



1) This record from the Alexandria database describes an optimized crystal structure of LiHgSCl2. The functional is GGA-PBEsol.

Summary:
- Space-group type: P4/mmm

a b c (Å): 4.881 5.275 5.275
angles (deg): 90.00 90.00 90.00
Site moments in Bohr magnetons follow the coordinates.
Sites, in units of the cell vectors:
S: 0.500 0.000 0.000  0.28
Li: 0.500 0.500 0.500  0.00
Hg: 0.000 0.000 0.000  0.02
Cl: 0.000 0.000 0.500  0.04
Cl: 0.000 0.500 0.000  0.04



2) This record from the Alexandria database describes an optimized crystal structure of LiHgSCl2. The functional is GGA-PBEsol.

Summary:
- Space-group type: P4/mmm

a b c (Å): 4.923 4.923 4.784
angles (deg): 90.00 90.00 90.00
Sites, in units of the cell vectors:
S: 0.000 0.000 0.000
Li: 0.000 0.000 0.500
Hg: 0.500 0.500 0.500
Cl: 0.000 0.500 0.000
Cl: 0.500 0.000 0.000



Need the numbers? Relative energies in kJ/mol of atoms: 1) 2.2; 2) 0.0.



1) This record from the Alexandria database describes an optimized crystal structure of Mg2HgCl. The functional is GGA-PBEsol.

Summary:
- Space-group type: P4/mmm

a b c (Å): 3.294 3.294 7.646
angles (deg): 90.00 90.00 90.00
Sites, in units of the cell vectors:
Cl: 0.500 0.500 0.000
Hg: 0.500 0.500 0.500
Mg: 0.000 0.000 0.734
Mg: 0.000 0.000 0.266



2) This record from the Alexandria database describes an optimized crystal structure of Mg2HgCl. The functional is GGA-PBEsol.

Summary:
- Space-group type: Pmmm

a b c (Å): 3.352 4.532 6.012
angles (deg): 90.00 90.00 90.00
Sites, in units of the cell vectors:
Cl: 0.500 0.500 0.000
Hg: 0.000 0.500 0.500
Mg: 0.000 0.000 0.000
Mg: 0.500 0.000 0.500



Need the numbers? Relative energies in kJ/mol of atoms: 1) 0.0; 2) 15.0.



1) This record from the Alexandria database describes an optimized crystal structure of MgHgCl2. The functional is GGA-PBEsol.

Summary:
- Space-group type: C2/m

a b c (Å): 3.572 3.572 9.646
angles (deg): 79.95 79.95 59.99
Sites, in units of the cell vectors:
Mg: 0.000 0.000 0.500
Hg: 0.500 0.500 0.000
Cl: 0.287 0.287 0.647
Cl: 0.713 0.713 0.353



2) This record from the Alexandria database describes an optimized crystal structure of MgHgCl2. The functional is GGA-PBEsol.

Summary:
- Space-group type: Pm

a b c (Å): 3.551 5.486 5.848
angles (deg): 115.13 90.00 90.00
Sites, in units of the cell vectors:
Cl: 0.000 0.106 0.942
Cl: 0.500 0.757 0.331
Hg: 0.000 0.473 0.531
Mg: 0.500 0.165 0.696



3) This record from the Alexandria database describes an optimized crystal structure of MgHgCl2. The functional is GGA-PBEsol.

Summary:
- Space-group type: Imm2

a b c (Å): 3.370 5.753 5.753
angles (deg): 59.17 72.97 72.97
Sites, in units of the cell vectors:
Cl: 0.943 0.057 0.057
Cl: 0.773 0.727 0.727
Hg: 0.522 0.478 0.478
Mg: 0.263 0.237 0.237



Need the numbers? Relative energies in kJ/mol of atoms: 1) 0.0; 2) 21.3; 3) 36.0.



1) This record from the Alexandria database describes an optimized crystal structure of MgHgCl2. The functional is GGA-PBEsol.

Summary:
- Space-group type: P4mm

a b c (Å): 3.473 3.473 9.226
angles (deg): 90.00 90.00 90.00
Sites, in units of the cell vectors:
Cl: 0.000 0.000 0.869
Cl: 0.500 0.500 0.199
Hg: 0.000 0.000 0.469
Mg: 0.500 0.500 0.963



2) This record from the Alexandria database describes an optimized crystal structure of MgHgCl2. The functional is GGA-PBEsol.

Summary:
- Space-group type: Cmmm

a b c (Å): 3.953 4.708 4.708
angles (deg): 89.93 90.00 90.00
Sites, in units of the cell vectors:
Cl: 0.000 0.500 0.000
Cl: 0.000 0.000 0.500
Hg: 0.500 0.000 0.000
Mg: 0.500 0.500 0.500



3) This record from the Alexandria database describes an optimized crystal structure of MgHgCl2. The functional is GGA-PBEsol.

Summary:
- Space-group type: C2/m

a b c (Å): 4.402 5.093 5.093
angles (deg): 101.18 107.63 107.63
Sites, in units of the cell vectors:
Cl: 0.000 0.500 0.000
Cl: 0.000 0.000 0.500
Hg: 0.500 0.000 0.000
Mg: 0.500 0.500 0.500



Need the numbers? Relative energies in kJ/mol of atoms: 1) 0.0; 2) 37.7; 3) 38.5.



1) This record from the Alexandria database describes an optimized crystal structure of MnHgCl2. The functional is GGA-PBEsol.

Summary:
- Space-group type: R-3m

a b c (Å): 3.569 3.569 9.374
angles (deg): 79.03 79.03 60.00
Site moments in Bohr magnetons follow the coordinates.
Sites, in units of the cell vectors:
Mn: 0.000 0.000 0.000  4.41
Hg: 0.500 0.500 0.500  0.01
Cl: 0.282 0.282 0.154  0.11
Cl: 0.718 0.718 0.846  0.11



2) This record from the Alexandria database describes an optimized crystal structure of MnHgCl2. The functional is GGA-PBEsol.

Summary:
- Space-group type: Pmmm

a b c (Å): 3.654 4.128 5.507
angles (deg): 90.00 90.00 90.00
Site moments in Bohr magnetons follow the coordinates.
Sites, in units of the cell vectors:
Mn: 0.000 0.500 0.500  4.20
Hg: 0.500 0.500 0.000  -0.02
Cl: 0.000 0.000 0.000  -0.01
Cl: 0.500 0.000 0.500  0.03



Need the numbers? Relative energies in kJ/mol of atoms: 1) 0.0; 2) 66.1.



1) This record from the Alexandria database describes an optimized crystal structure of HgMo2Cl. The functional is GGA-PBEsol.

Summary:
- Space-group type: Pmmm

a b c (Å): 2.821 4.790 5.089
angles (deg): 90.00 90.00 90.00
Sites, in units of the cell vectors:
Mo: 0.000 0.000 0.000
Mo: 0.500 0.000 0.500
Hg: 0.000 0.500 0.500
Cl: 0.500 0.500 0.000



2) This record from the Alexandria database describes an optimized crystal structure of HgMo2Cl. The functional is GGA-PBEsol.

Summary:
- Space-group type: Cmmm

a b c (Å): 2.827 2.933 9.212
angles (deg): 90.00 90.00 118.82
Sites, in units of the cell vectors:
Mo: 0.000 0.000 0.730
Mo: 0.000 0.000 0.270
Hg: 0.500 0.000 0.000
Cl: 0.500 0.000 0.500



Need the numbers? Relative energies in kJ/mol of atoms: 1) 14.1; 2) 0.0.



1) This record from the Alexandria database describes an optimized crystal structure of HgMo2Cl. The functional is GGA-PBEsol.

Summary:
- Space-group type: F-43m

a b c (Å): 4.577 4.577 4.577
angles (deg): 60.00 60.00 60.00
Sites, in units of the cell vectors:
Mo: 0.000 0.000 0.000
Mo: 0.750 0.750 0.750
Hg: 0.250 0.250 0.250
Cl: 0.500 0.500 0.500



2) This record from the Alexandria database describes an optimized crystal structure of HgMo2Cl. The functional is GGA-PBEsol.

Summary:
- Space-group type: P4/mmm

a b c (Å): 3.887 3.887 4.563
angles (deg): 90.00 90.00 90.00
Sites, in units of the cell vectors:
Mo: 0.000 0.500 0.000
Mo: 0.500 0.000 0.000
Hg: 0.000 0.000 0.500
Cl: 0.500 0.500 0.500



Need the numbers? Relative energies in kJ/mol of atoms: 1) 0.0; 2) 14.6.



1) This record from the Alexandria database describes an optimized crystal structure of NiHg2Cl. The functional is GGA-PBEsol.

Summary:
- Space-group type: P4mm

a b c (Å): 3.576 3.576 6.775
angles (deg): 90.00 90.00 90.00
Sites, in units of the cell vectors:
Ni: 0.000 0.000 0.373
Hg: 0.000 0.000 0.006
Hg: 0.500 0.500 0.330
Cl: 0.500 0.500 0.790



2) This record from the Alexandria database describes an optimized crystal structure of NiHg2Cl. The functional is GGA-PBEsol.

Summary:
- Space-group type: Immm

a b c (Å): 3.230 5.489 5.489
angles (deg): 66.12 72.89 72.89
Site moments in Bohr magnetons follow the coordinates.
Sites, in units of the cell vectors:
Ni: 0.500 0.000 0.000  0.38
Hg: 0.229 0.771 0.771  0.00
Hg: 0.771 0.229 0.229  0.00
Cl: 0.000 0.500 0.500  0.02



Need the numbers? Relative energies in kJ/mol of atoms: 1) 0.0; 2) 6.1.



1) This record from the Alexandria database describes an optimized crystal structure of NiHg2Cl. The functional is GGA-PBEsol.

Summary:
- Space-group type: R3m

a b c (Å): 3.376 3.376 8.394
angles (deg): 78.40 78.40 60.00
Site moments in Bohr magnetons follow the coordinates.
Sites, in units of the cell vectors:
Ni: 0.508 0.508 0.476  0.79
Hg: 0.003 0.003 0.992  0.02
Hg: 0.767 0.767 0.699  0.02
Cl: 0.222 0.222 0.333  0.12



2) This record from the Alexandria database describes an optimized crystal structure of NiHg2Cl. The functional is GGA-PBEsol.

Summary:
- Space-group type: Amm2

a b c (Å): 3.138 4.098 6.573
angles (deg): 108.16 90.00 90.00
Sites, in units of the cell vectors:
Ni: 0.000 0.281 0.437
Hg: 0.000 0.073 0.020
Hg: 0.500 0.729 0.333
Cl: 0.500 0.417 0.711



3) This record from the Alexandria database describes an optimized crystal structure of NiHg2Cl. The functional is GGA-PBEsol.

Summary:
- Space-group type: R-3m

a b c (Å): 3.404 3.404 7.971
angles (deg): 77.67 77.67 60.00
Sites, in units of the cell vectors:
Ni: 0.500 0.500 0.500
Hg: 0.241 0.241 0.278
Hg: 0.759 0.759 0.722
Cl: 0.000 0.000 0.000



Need the numbers? Relative energies in kJ/mol of atoms: 1) 0.0; 2) 2.4; 3) 7.7.



1) This record from the Alexandria database describes an optimized crystal structure of HgP2Cl. The functional is GGA-PBEsol.

Summary:
- Space-group type: Cmm2

a b c (Å): 3.298 3.899 8.408
angles (deg): 90.00 90.00 115.02
Sites, in units of the cell vectors:
Cl: 0.000 0.000 0.522
Hg: 0.500 0.000 0.760
P: 0.000 0.000 0.027
P: 0.500 0.000 0.192



2) This record from the Alexandria database describes an optimized crystal structure of HgP2Cl. The functional is GGA-PBEsol.

Summary:
- Space-group type: I4/mmm

a b c (Å): 4.601 4.601 4.601
angles (deg): 107.22 110.61 110.61
Sites, in units of the cell vectors:
Cl: 0.000 0.000 0.000
Hg: 0.000 0.500 0.500
P: 0.500 0.000 0.500
P: 0.500 0.500 0.000



Need the numbers? Relative energies in kJ/mol of atoms: 1) 0.0; 2) 11.7.



1) This record from the Alexandria database describes an optimized crystal structure of HgP2Cl. The functional is GGA-PBEsol.

Summary:
- Space-group type: R-3m

a b c (Å): 3.893 3.893 6.555
angles (deg): 72.72 72.72 60.00
Sites, in units of the cell vectors:
Cl: 0.000 0.000 0.000
Hg: 0.500 0.500 0.500
P: 0.232 0.232 0.303
P: 0.768 0.768 0.697



2) This record from the Alexandria database describes an optimized crystal structure of HgP2Cl. The functional is GGA-PBEsol.

Summary:
- Space-group type: C2/m

a b c (Å): 3.240 4.433 6.648
angles (deg): 101.44 104.11 90.00
Sites, in units of the cell vectors:
Cl: 0.000 0.500 0.000
Hg: 0.500 0.000 0.000
P: 0.778 0.879 0.556
P: 0.222 0.121 0.444



Need the numbers? Relative energies in kJ/mol of atoms: 1) 25.5; 2) 0.0.